1.
Crystalline Pm3Nd2Bi3 at its relaxed geometry, computed with PBE-GGA.

Cell: 9.483 9.483 6.565 Å, 90.00 90.00 120.00°
Sites, in units of the cell vectors:
Pm1 0.000 0.246 0.250
Pm2 0.000 0.754 0.750
Pm3 0.246 0.000 0.250
Pm4 0.246 0.246 0.750
Pm5 0.754 0.000 0.750
Pm6 0.754 0.754 0.250
Nd1 0.333 0.667 0.000
Nd2 0.333 0.667 0.500
Nd3 0.667 0.333 0.000
Nd4 0.667 0.333 0.500
Bi1 0.000 0.386 0.750
Bi2 0.000 0.614 0.250
Bi3 0.386 0.000 0.750
Bi4 0.386 0.386 0.250
Bi5 0.614 0.000 0.250
Bi6 0.614 0.614 0.750

Summary:
As for the energy relative to the elements: -771 meV/atom.

2.
Crystalline Ho2ZrCo at its relaxed geometry, computed with PBE-GGA.

Cell: 10.279 10.279 10.279 Å, 18.57 18.57 18.57°
Sites, in units of the cell vectors:
Ho1 0.106 0.106 0.106
Ho2 0.894 0.894 0.894
Zr1 0.000 0.000 0.000
Co1 0.500 0.500 0.500

Summary:
The calculation puts the energy relative to the lowest polymorph listed for this composition at 460.6 meV per atom. As for the energy relative to the elements: 318 meV/atom.

3.
Crystalline VZn2HgRu at its relaxed geometry, computed with PBE-GGA.

Cell: 4.930 4.930 4.303 Å, 90.00 90.00 90.00°
Sites, in units of the cell vectors:
V1 0.000 0.000 0.000
Zn1 0.000 0.500 0.000
Zn2 0.500 0.000 0.000
Hg1 0.500 0.500 0.500
Ru1 0.000 0.000 0.500

Summary:
As for the energy relative to the elements: 910 meV/atom.

4.
Crystalline SrGeBr2 at its relaxed geometry, computed with PBE-GGA.

Cell: 9.248 9.248 9.248 Å, 28.31 28.31 28.31°
Sites, in units of the cell vectors:
Sr1 0.000 0.000 0.000
Ge1 0.500 0.500 0.500
Br1 0.115 0.115 0.115
Br2 0.885 0.885 0.885

Summary:
The calculation puts the energy relative to the lowest polymorph listed for this composition at 313.2 meV per atom.

5.
Crystalline SiNi2Au at its relaxed geometry, computed with PBE-GGA.

Cell: 2.857 4.037 4.565 Å, 90.00 90.10 90.00°
Sites, in units of the cell vectors:
Si1 0.000 0.000 0.000
Ni1 0.500 0.000 0.406
Ni2 0.503 0.500 0.091
Au1 0.002 0.500 0.606

Summary:
The calculation puts the total energy at -5.206 eV per atom.

6.
Crystalline PtRhI2N at its relaxed geometry, computed with PBE-GGA.

Cell: 5.674 5.674 3.693 Å, 90.00 90.00 90.00°
Sites, in units of the cell vectors:
Pt1 0.000 0.000 0.000
Rh1 0.500 0.500 0.500
I1 0.000 0.500 0.000
I2 0.500 0.000 0.000
N1 0.000 0.000 0.500

Summary:
The calculation puts the energy relative to the lowest polymorph listed for this composition at 108.6 meV per atom.

7.
Crystalline Ta2PCl at its relaxed geometry, computed with PBE-GGA.

Cell: 4.606 4.606 4.606 Å, 60.00 60.00 60.00°
Sites, in units of the cell vectors:
Ta1 0.000 0.000 0.000
Ta2 0.250 0.250 0.250
P1 0.500 0.500 0.500
Cl1 0.750 0.750 0.750

Summary:
The calculation puts the energy relative to the lowest polymorph listed for this composition at 972.0 meV per atom.

8.
Crystalline ScZn3Pb at its relaxed geometry, computed with PBE-GGA.

Cell: 5.170 5.170 5.170 Å, 90.00 90.00 90.00°
Sites, in units of the cell vectors:
Sc1 0.000 0.000 0.000
Zn1 0.000 0.500 0.500
Zn2 0.500 0.000 0.500
Zn3 0.500 0.500 0.000
Pb1 0.500 0.500 0.500

Summary:
The calculation puts the energy relative to the lowest polymorph listed for this composition at 98.7 meV per atom. As for the energy relative to the elements: 735 meV/atom.

9.
Crystalline Tm2SiPd6 at its relaxed geometry, computed with PBE-GGA.

Cell: 7.488 7.488 3.781 Å, 104.45 104.45 58.33°
Sites, in units of the cell vectors:
Tm1 0.149 0.149 0.149
Tm2 0.851 0.851 0.851
Si1 0.500 0.500 0.500
Pd1 0.130 0.543 0.336
Pd2 0.298 0.702 0.000
Pd3 0.457 0.870 0.664
Pd4 0.543 0.130 0.336
Pd5 0.702 0.298 0.000
Pd6 0.870 0.457 0.664

Summary:
The calculation puts the total energy at -5.712 eV per atom.

10.
Crystalline RbBSCl2 at its relaxed geometry, computed with PBE-GGA.

Cell: 5.555 5.555 3.589 Å, 90.00 90.00 90.00°
Sites, in units of the cell vectors:
Rb1 0.000 0.000 0.000
B1 0.500 0.500 0.500
S1 0.500 0.500 0.000
Cl1 0.000 0.500 0.500
Cl2 0.500 0.000 0.500

Summary:
The calculation puts the energy relative to the lowest polymorph listed for this composition at 0.0 meV per atom.

11.
Crystalline Zn2FeBr at its relaxed geometry, computed with PBE-GGA.

Cell: 8.112 8.112 8.112 Å, 22.93 22.93 22.93°
Sites, in units of the cell vectors:
Zn1 0.244 0.244 0.244
Zn2 0.756 0.756 0.756
Fe1 0.500 0.500 0.500
Br1 0.000 0.000 0.000

Summary:
The calculation puts the energy relative to the lowest polymorph listed for this composition at 111.9 meV per atom.

12.
Crystalline Tb2Pm6Pr3Dy at its relaxed geometry, computed with PBE-GGA.

Cell: 6.316 6.316 12.074 Å, 95.02 95.02 120.01°
Sites, in units of the cell vectors:
Tb1 0.167 0.833 0.000
Tb2 0.833 0.167 0.000
Pm1 0.085 0.418 0.755
Pm2 0.249 0.249 0.246
Pm3 0.418 0.085 0.755
Pm4 0.582 0.915 0.245
Pm5 0.751 0.751 0.754
Pm6 0.915 0.582 0.245
Pr1 0.000 0.000 0.500
Pr2 0.333 0.667 0.500
Pr3 0.667 0.333 0.500
Dy1 0.500 0.500 0.000

Summary:
As for the energy relative to the elements: 16 meV/atom.

13.
Crystalline Ba2ReIr at its relaxed geometry, computed with PBE-GGA.

Cell: 8.649 8.649 8.649 Å, 94.41 94.41 147.79°
Sites, in units of the cell vectors:
Ba1 0.375 0.204 0.329
Ba2 0.796 0.125 0.171
Ba3 0.875 0.046 0.671
Ba4 0.954 0.625 0.829
Re1 0.250 0.750 0.500
Re2 0.500 0.500 0.000
Ir1 0.000 0.000 0.000
Ir2 0.750 0.250 0.500

Summary:
The calculation puts the energy relative to the lowest polymorph listed for this composition at 564.7 meV per atom. As for the energy relative to the elements: 681 meV/atom.

14.
Crystalline CaCePd at its relaxed geometry, computed with PBE-GGA.

Cell: 6.965 6.965 6.965 Å, 150.23 150.23 42.60°
Sites, in units of the cell vectors:
Ca1 0.000 0.000 0.000
Ce1 0.267 0.267 0.000
Pd1 0.644 0.644 0.000

Summary:
The calculation puts the energy relative to the lowest polymorph listed for this composition at 0.0 meV per atom. As for the energy relative to the elements: -375 meV/atom.

15.
Crystalline GaFeHg3 at its relaxed geometry, computed with PBE-GGA.

Cell: 5.224 5.224 5.224 Å, 90.00 90.00 90.00°
Sites, in units of the cell vectors:
Ga1 0.000 0.000 0.000
Fe1 0.500 0.500 0.500
Hg1 0.000 0.000 0.500
Hg2 0.000 0.500 0.000
Hg3 0.500 0.000 0.000

Summary:
The calculation puts the energy relative to the lowest polymorph listed for this composition at 355.0 meV per atom. As for the energy relative to the elements: 817 meV/atom.

16.
Crystalline Cu2MoAu at its relaxed geometry, computed with PBE-GGA.

Cell: 4.755 4.755 2.654 Å, 90.00 90.00 102.38°
Sites, in units of the cell vectors:
Cu1 0.000 0.500 0.000
Cu2 0.500 0.000 0.000
Mo1 0.000 0.000 0.500
Au1 0.500 0.500 0.500

Summary:
The calculation puts the energy relative to the lowest polymorph listed for this composition at 180.9 meV per atom. As for the energy relative to the elements: 318 meV/atom.

17.
Crystalline Tm6TeAs2Pb3 at its relaxed geometry, computed with PBE-GGA.

Cell: 9.813 9.813 8.898 Å, 109.61 109.61 24.12°
Sites, in units of the cell vectors:
Tm1 0.012 0.012 0.254
Tm2 0.325 0.325 0.440
Tm3 0.331 0.331 0.895
Tm4 0.669 0.669 0.105
Tm5 0.675 0.675 0.560
Tm6 0.988 0.988 0.746
Te1 0.500 0.500 0.000
As1 0.167 0.167 0.330
As2 0.833 0.833 0.670
Pb1 0.161 0.161 0.824
Pb2 0.500 0.500 0.500
Pb3 0.839 0.839 0.176

Summary:
The calculation puts the total energy at -5.087 eV per atom.

18.
Crystalline AcEuTm at its relaxed geometry, computed with PBE-GGA.

Cell: 3.800 3.800 9.196 Å, 90.00 90.00 120.00°
Sites, in units of the cell vectors:
Ac1 0.000 0.000 0.000
Eu1 0.333 0.667 0.640
Tm1 0.667 0.333 0.318

Summary:
As for the energy relative to the elements: 72 meV/atom.

19.
Crystalline AcMgSi6Pt2 at its relaxed geometry, computed with PBE-GGA.

Cell: 7.920 7.920 7.920 Å, 43.79 43.79 43.79°
Sites, in units of the cell vectors:
Ac1 0.000 0.000 0.000
Mg1 0.500 0.500 0.500
Si1 0.112 0.527 0.527
Si2 0.473 0.473 0.888
Si3 0.473 0.888 0.473
Si4 0.527 0.112 0.527
Si5 0.527 0.527 0.112
Si6 0.888 0.473 0.473
Pt1 0.221 0.221 0.221
Pt2 0.779 0.779 0.779

Summary:
The calculation puts the total energy at -5.178 eV per atom.

20.
Crystalline Ca3ErGa4 at its relaxed geometry, computed with PBE-GGA.

Cell: 3.616 3.616 14.714 Å, 90.00 90.00 90.00°
Sites, in units of the cell vectors:
Ca1 0.000 0.000 0.000
Ca2 0.000 0.000 0.253
Ca3 0.000 0.000 0.747
Er1 0.000 0.000 0.500
Ga1 0.500 0.500 0.127
Ga2 0.500 0.500 0.383
Ga3 0.500 0.500 0.617
Ga4 0.500 0.500 0.873

Summary:
As for the energy relative to the elements: -471 meV/atom.

Ρ, record by record: 8.77 8.29 7.68 3.38 10.80 7.90 10.30 5.39 9.65 2.99 6.22 7.17 6.55 5.73 8.47 11.90 9.66 7.91 6.23 4.89 g cm⁻³